# LaRh3 | Alexandria via LeMat-Bulk | GGA-PBE | relaxed
data_LaRh3
_chemical_formula_sum 'La4 Rh12'
_symmetry_space_group_name_H-M 'C m c m'
_symmetry_Int_Tables_number 63
_symmetry_space_group_name_Hall '-C 2c 2'
_cell_length_a 5.9522
_cell_length_b 10.1088
_cell_length_c 4.7027
_cell_angle_alpha 90.00
_cell_angle_beta 90.00
_cell_angle_gamma 90.00
loop_
_atom_site_label
_atom_site_type_symbol
_atom_site_fract_x
_atom_site_fract_y
_atom_site_fract_z
La1 La 0.0000 0.1028 0.2500
Rh1 Rh 0.0000 0.4188 0.7500
Rh2 Rh 0.2314 0.3366 0.2500
# DOS(E_F) in states/eV per atom: 0.90
# Energy relative to the elements in eV per atom: -0.2616
# Magnetization in μB per atom: 0.000
# Mass density in Mg/m³: 10.5


# K3NpSc2Se6 | Alexandria via LeMat-Bulk | GGA-PBE | relaxed
data_K3NpSc2Se6
_chemical_formula_sum 'K6 Np2 Sc4 Se12'
_symmetry_space_group_name_H-M 'C 1 2/m 1'
_symmetry_Int_Tables_number 12
_cell_length_a 7.1109
_cell_length_b 12.3204
_cell_length_c 8.0006
_cell_angle_alpha 90.00
_cell_angle_beta 107.28
_cell_angle_gamma 90.00
loop_
_symmetry_equiv_pos_as_xyz
'x,y,z'
'-x,-y,-z'
'-x,y,-z'
'x,-y,z'
'x+1/2,y+1/2,z'
'-x+1/2,-y+1/2,-z'
'-x+1/2,y+1/2,-z'
'x+1/2,-y+1/2,z'
loop_
_atom_site_label
_atom_site_type_symbol
_atom_site_fract_x
_atom_site_fract_y
_atom_site_fract_z
K1 K 0.0000 0.0000 0.0000
K2 K 0.0000 0.3357 0.0000
Np1 Np 0.0000 0.5000 0.5000
Sc1 Sc 0.0000 0.1670 0.5000
Se1 Se 0.2189 0.0000 0.6986
Se2 Se 0.2401 0.3264 0.6991
# DOS(E_F) in states/eV per atom: 0.73
# Formation energy from raw total energies in eV per atom: -1.4847
# Magnetization in μB per atom: 0.334
# Mass density in Mg/m³: 4.6


# Cd2PdAu2 | Alexandria via LeMat-Bulk | GGA-PBE | relaxed
data_Cd2PdAu2
_chemical_formula_sum 'Cd4 Pd2 Au4'
_symmetry_space_group_name_H-M 'P 4/m b m'
_symmetry_Int_Tables_number 127
_symmetry_space_group_name_Hall '-P 4 2ab'
_cell_length_a 7.6872
_cell_length_b 7.6872
_cell_length_c 3.3131
_cell_angle_alpha 90.00
_cell_angle_beta 90.00
_cell_angle_gamma 90.00
loop_
_atom_site_label
_atom_site_type_symbol
_atom_site_fract_x
_atom_site_fract_y
_atom_site_fract_z
Cd1 Cd 0.1516 0.3484 0.0000
Pd1 Pd 0.0000 0.0000 0.0000
Au1 Au 0.1477 0.6477 0.5000
# DOS(E_F) in states/eV per atom: 0.34
# Energy relative to the elements in eV per atom: -0.0394
# E above lowest polymorph in kJ per mole of atoms: 18.7
# Magnetization in μB per atom: 0.000
# Mass density in Mg/m³: 12.3